1.
PBE CaMgSc2Au4, relaxed; D(E_F) = 4.82 states/eV/f.u.; ΔE_f = -0.73 eV/atom
1.0
-4.641 0.864 -0.944
-3.388 -3.010 1.626
-3.253 3.597 7.009
Au Sc Ca Mg
4 2 1 1
Cartesian
-5.842 2.231 6.212 Au
-8.249 -0.505 3.262 Au
-5.440 -0.779 1.479 Au
-3.034 1.957 4.429 Au
-8.455 1.036 5.685 Sc
-2.828 0.416 2.007 Sc
0.000 0.000 0.000 Ca
-5.641 0.726 3.846 Mg

=====

2.
PBE TbDyRu, relaxed; D(E_F) = 1.73 states/eV/f.u.; energy above the lowest structure with this stoichiometry = 0.0490 eV per atom; ΔE_f = -0.28 eV/atom
1.0
-0.576 6.728 -0.432
-1.573 -0.566 -6.556
-5.489 -3.538 5.109
Ru Dy Tb
4 4 4
Cartesian
-1.575 4.897 -5.015 Ru
-0.499 1.811 -1.514 Ru
-3.495 -1.776 -0.497 Ru
-4.567 1.299 -3.985 Ru
-5.963 3.011 -2.052 Dy
-5.668 -0.353 -1.838 Dy
-1.600 0.159 0.632 Dy
-2.393 -0.124 -2.644 Dy
-5.177 3.294 1.226 Tb
-1.887 3.523 0.416 Tb
-2.682 3.239 -2.859 Tb
-4.880 -0.069 1.440 Tb

=====

3.
PBE LiNbZn, relaxed; D(E_F) = 2.57 states/eV/f.u.; energy above the lowest structure with this stoichiometry = 0.4438 eV per atom; ΔE_f = 0.39 eV/atom
1.0
-4.368 -1.517 0.495
2.055 -0.152 -4.168
0.916 -2.462 0.541
Li Zn Nb
1 1 1
Cartesian
-1.768 -2.293 -0.789 Li
0.000 0.000 0.000 Zn
-0.086 -0.607 -2.614 Nb

=====

4.
PBE Hf3InHg3, relaxed; D(E_F) = 5.28 states/eV/f.u.; ΔE_f = 0.00 eV/atom
1.0
-4.171 -1.059 -2.571
-0.210 -7.635 3.485
-3.923 6.422 3.721
Hf Hg In
6 6 2
Cartesian
-6.751 0.881 3.261 Hf
-5.035 -0.558 1.068 Hf
-2.649 -4.775 3.822 Hf
-5.655 2.504 0.814 Hf
-3.269 -1.714 3.567 Hf
-1.553 -3.153 1.375 Hf
-4.134 -6.803 2.179 Hg
-2.049 -0.254 0.986 Hg
-3.339 -2.409 -0.922 Hg
-6.256 -2.018 3.650 Hg
-4.966 0.137 5.557 Hg
-4.170 4.532 2.456 Hg
-3.728 1.472 3.000 In
-4.576 -3.743 1.636 In

=====

5.
PBE CeTi2Pd, relaxed; D(E_F) = 8.42 states/eV/f.u.; ΔE_f = -0.15 eV/atom
1.0
-3.158 0.412 -0.189
-0.376 -1.645 2.707
0.592 6.337 3.934
Ti Ce Pd
2 1 1
Cartesian
0.123 1.322 0.821 Ti
0.468 5.015 3.113 Ti
-1.471 2.552 3.226 Ce
-1.767 -0.617 1.259 Pd

=====

6.
PBE PrErTl, relaxed; D(E_F) = 5.56 states/eV/f.u.; energy above the lowest structure with this stoichiometry = 0.2238 eV per atom; ΔE_f = -0.03 eV/atom
1.0
-4.597 0.963 2.400
-0.271 0.021 5.267
-0.724 4.540 2.586
Pr Er Tl
1 1 1
Cartesian
-2.796 2.762 5.127 Pr
0.000 0.000 0.000 Er
-1.398 1.381 2.563 Tl

=====

7.
PBE PmErTlIr, relaxed; D(E_F) = 3.15 states/eV/f.u.; energy above the lowest structure with this stoichiometry = 0.0000 eV per atom; ΔE_f = -0.58 eV/atom
1.0
-0.621 -2.512 2.342
-1.204 -2.069 -2.540
7.484 -2.932 -1.161
Tl Pm Ir Er
1 1 1 1
Cartesian
0.616 -0.241 -0.095 Tl
4.910 -4.572 -1.002 Pm
4.173 -1.635 -0.647 Ir
1.834 -3.367 -0.525 Er

=====

8.
PBE NdEr2Ir, relaxed; D(E_F) = 3.95 states/eV/f.u.; energy above the lowest structure with this stoichiometry = 0.3590 eV per atom; ΔE_f = -0.20 eV/atom
1.0
-2.993 2.272 0.409
-2.436 0.448 -2.855
-7.459 -7.176 2.736
Nd Er Ir
1 2 1
Cartesian
0.000 0.000 0.000 Nd
-5.503 -4.377 1.506 Er
-7.385 -0.079 -1.216 Er
-6.444 -2.228 0.145 Ir